Record 1
# SrIr3, optimized geometry, DFT PBE
# * formation energy: 0.369 eV/atom
# * theoretical density: 16.0 g/cm3
data_SrIr3
_symmetry_space_group_name_H-M 'P 1'
_symmetry_Int_Tables_number 1
_symmetry_space_group_name_Hall 'P 1'
_cell_length_a 5.068
_cell_length_b 5.068
_cell_length_c 2.843
_cell_angle_alpha 90.00
_cell_angle_beta 90.00
_cell_angle_gamma 109.63
loop_
_atom_site_label
_atom_site_type_symbol
_atom_site_fract_x
_atom_site_fract_y
_atom_site_fract_z
_atom_site_occupancy
Ir1 Ir 0.000 0.500 0.500 1
Ir2 Ir 0.500 0.000 0.500 1
Ir3 Ir 0.500 0.500 0.000 1
Sr1 Sr 0.000 0.000 0.000 1



Record 2
# Sr3Ir2, optimized geometry, DFT PBE
# * formation energy: 0.015 eV/atom
# * energy above the most stable polymorph in this dataset: 0.000 eV per atom
# * theoretical density: 7.5 g/cm3
data_Sr3Ir2
_symmetry_space_group_name_H-M 'P 1'
_symmetry_Int_Tables_number 1
_symmetry_space_group_name_Hall 'P 1'
_cell_length_a 5.120
_cell_length_b 5.120
_cell_length_c 6.282
_cell_angle_alpha 90.00
_cell_angle_beta 90.00
_cell_angle_gamma 120.00
loop_
_atom_site_label
_atom_site_type_symbol
_atom_site_fract_x
_atom_site_fract_y
_atom_site_fract_z
_atom_site_occupancy
Sr1 Sr 0.333 0.667 0.332 1
Sr2 Sr 0.667 0.333 0.668 1
Sr3 Sr 0.000 0.000 0.000 1
Ir1 Ir 0.667 0.333 0.163 1
Ir2 Ir 0.333 0.667 0.837 1



Record 3
# Sr5Ir, optimized geometry, DFT PBE
# * formation energy: -0.023 eV/atom
# * energy above the most stable polymorph in this dataset: 0.077 eV per atom
# * theoretical density: 4.1 g/cm3
data_Sr5Ir
_symmetry_space_group_name_H-M 'P 1'
_symmetry_Int_Tables_number 1
_symmetry_space_group_name_Hall 'P 1'
_cell_length_a 7.348
_cell_length_b 7.348
_cell_length_c 10.182
_cell_angle_alpha 66.09
_cell_angle_beta 66.09
_cell_angle_gamma 31.03
loop_
_atom_site_label
_atom_site_type_symbol
_atom_site_fract_x
_atom_site_fract_y
_atom_site_fract_z
_atom_site_occupancy
Ir1 Ir 0.972 0.972 0.055 1
Sr1 Sr 0.311 0.311 0.317 1
Sr2 Sr 0.633 0.633 0.794 1
Sr3 Sr 0.358 0.358 0.943 1
Sr4 Sr 0.586 0.586 0.168 1
Sr5 Sr 0.973 0.973 0.556 1



Record 4
# SrTa2Ir2, optimized geometry, DFT PBE
# * formation energy: -0.467 eV/atom
# * energy above the most stable polymorph in this dataset: 0.000 eV per atom
# * theoretical density: 12.8 g/cm3
data_SrTa2Ir2
_symmetry_space_group_name_H-M 'P 1'
_symmetry_Int_Tables_number 1
_symmetry_space_group_name_Hall 'P 1'
_cell_length_a 4.491
_cell_length_b 4.491
_cell_length_c 6.234
_cell_angle_alpha 68.89
_cell_angle_beta 68.89
_cell_angle_gamma 90.00
loop_
_atom_site_label
_atom_site_type_symbol
_atom_site_fract_x
_atom_site_fract_y
_atom_site_fract_z
_atom_site_occupancy
Ir1 Ir 0.628 0.628 0.743 1
Ir2 Ir 0.372 0.372 0.257 1
Ta1 Ta 0.750 0.250 0.500 1
Ta2 Ta 0.250 0.750 0.500 1
Sr1 Sr 0.000 0.000 0.000 1



Record 5
# SrTa2Ir, optimized geometry, DFT PBE
# * formation energy: 0.249 eV/atom
# * energy above the most stable polymorph in this dataset: 0.134 eV per atom
# * theoretical density: 12.6 g/cm3
data_SrTa2Ir
_symmetry_space_group_name_H-M 'P 1'
_symmetry_Int_Tables_number 1
_symmetry_space_group_name_Hall 'P 1'
_cell_length_a 6.273
_cell_length_b 6.273
_cell_length_c 6.273
_cell_angle_alpha 152.52
_cell_angle_beta 131.54
_cell_angle_gamma 56.61
loop_
_atom_site_label
_atom_site_type_symbol
_atom_site_fract_x
_atom_site_fract_y
_atom_site_fract_z
_atom_site_occupancy
Ta1 Ta 0.043 0.043 0.000 1
Ta2 Ta 0.457 0.457 0.000 1
Ir1 Ir 0.250 0.750 0.500 1
Sr1 Sr 0.750 0.250 0.500 1



Record 6
# SrTaIr2, optimized geometry, DFT PBE
# * formation energy: 0.146 eV/atom
# * energy above the most stable polymorph in this dataset: 0.489 eV per atom
# * theoretical density: 14.4 g/cm3
data_SrTaIr2
_symmetry_space_group_name_H-M 'P 1'
_symmetry_Int_Tables_number 1
_symmetry_space_group_name_Hall 'P 1'
_cell_length_a 4.740
_cell_length_b 4.740
_cell_length_c 4.740
_cell_angle_alpha 60.00
_cell_angle_beta 60.00
_cell_angle_gamma 60.00
loop_
_atom_site_label
_atom_site_type_symbol
_atom_site_fract_x
_atom_site_fract_y
_atom_site_fract_z
_atom_site_occupancy
Ir1 Ir 0.250 0.250 0.250 1
Ir2 Ir 0.750 0.750 0.750 1
Sr1 Sr 0.000 0.000 0.000 1
Ta1 Ta 0.500 0.500 0.500 1